Entry 1:
VMoH | PBE | optimized geometry

The structure in POSCAR format:
```
VMoH
1.0
-1.342 -0.270 6.139
3.631 -2.532 0.682
3.150 3.884 -2.354
V Mo H
4 4 4
Direct
0.367 0.749 0.734
0.633 0.251 0.266
0.133 0.249 0.266
0.867 0.751 0.734
0.618 0.255 0.736
0.382 0.745 0.264
0.882 0.755 0.264
0.118 0.245 0.736
0.311 0.126 0.120
0.811 0.374 0.120
0.189 0.626 0.880
0.689 0.874 0.880
```

Properties
Electronic total energy: -7.842 eV per atom
Polymorph energy (0 for the lowest one): 33.2 meV per atom

=====

Entry 2:
VMoH2 | PBE | optimized geometry

The structure in POSCAR format:
```
VMoH2
1.0
-1.402 -1.377 3.671
3.703 -1.745 0.760
2.430 1.940 4.017
H Mo V
4 2 2
Direct
0.875 0.857 0.750
0.143 0.625 0.250
0.607 0.125 0.250
0.375 0.393 0.750
0.000 0.000 0.000
0.750 0.250 0.500
0.500 0.500 0.000
0.250 0.750 0.500
```

Properties
Electronic total energy: -6.646 eV per atom
Polymorph energy (0 for the lowest one): 80.2 meV per atom

=====

Entry 3:
V2MoH4 | PBE | optimized geometry

The structure in POSCAR format:
```
V2MoH4
1.0
3.630 0.000 0.000
0.000 3.630 0.000
1.815 1.815 4.745
H V Mo
4 2 1
Direct
0.189 0.189 0.623
0.000 0.500 0.000
0.500 0.000 0.000
0.811 0.811 0.377
0.615 0.615 0.769
0.385 0.385 0.231
0.000 0.000 0.000
```

Properties
Electronic total energy: -5.834 eV per atom
Polymorph energy (0 for the lowest one): 321.2 meV per atom

=====

Entry 4:
VMo2H4 | PBE | optimized geometry

The structure in POSCAR format:
```
VMo2H4
1.0
3.196 0.000 0.000
0.000 3.196 0.000
1.598 1.598 5.389
H V Mo
4 1 2
Direct
0.000 0.500 0.000
0.832 0.832 0.336
0.168 0.168 0.664
0.500 0.000 0.000
0.000 0.000 0.000
0.344 0.344 0.311
0.656 0.656 0.689
```

Properties
Electronic total energy: -6.072 eV per atom
Polymorph energy (0 for the lowest one): 108.0 meV per atom

=====

Entry 5:
V2MoH4 | PBE | optimized geometry

The structure in POSCAR format:
```
V2MoH4
1.0
-2.400 4.161 2.358
1.273 -1.996 4.799
3.815 0.833 -3.638
H Mo V
8 2 4
Direct
0.388 0.611 0.775
0.414 0.137 0.275
0.389 0.612 0.225
0.861 0.138 0.275
0.862 0.139 0.725
0.863 0.586 0.725
0.387 0.164 0.775
0.836 0.613 0.225
0.000 0.000 0.000
0.250 0.750 0.500
0.125 0.375 0.750
0.625 0.875 0.250
0.625 0.375 0.750
0.625 0.375 0.250
```

Properties
Electronic total energy: -6.156 eV per atom
Polymorph energy (0 for the lowest one): 0.0 meV per atom

=====

Entry 6:
V6MoH8 | PBE | optimized geometry

The structure in POSCAR format:
```
V6MoH8
1.0
4.937 -0.483 -0.499
-0.637 4.919 -0.499
-0.637 -0.657 4.901
H V Mo
8 6 1
Direct
0.909 0.368 0.210
0.632 0.790 0.091
0.368 0.210 0.909
0.790 0.091 0.632
0.210 0.909 0.368
0.091 0.632 0.790
0.289 0.289 0.289
0.711 0.711 0.711
0.412 0.853 0.710
0.147 0.290 0.588
0.588 0.147 0.290
0.290 0.588 0.147
0.710 0.412 0.853
0.853 0.710 0.412
0.000 0.000 0.000
```

Properties
Electronic total energy: -6.251 eV per atom

=====

Entry 7:
VMoHW2 | PBE | optimized geometry

The structure in POSCAR format:
```
VMoHW2
1.0
-4.178 -0.944 1.522
1.742 -2.798 3.046
0.308 3.427 2.971
W Mo V H
2 1 1 1
Direct
0.000 0.000 0.500
0.500 0.000 0.000
0.000 0.500 0.000
0.000 0.000 0.000
0.500 0.500 0.500
```

Properties
Electronic total energy: -7.531 eV per atom

=====

Entry 8:
VZn2MoH | PBE | optimized geometry

The structure in POSCAR format:
```
VZn2MoH
1.0
-3.127 -2.517 2.856
0.171 -3.368 -2.781
3.802 -1.877 2.508
Zn Mo V H
2 1 1 1
Direct
0.000 0.000 0.500
0.500 0.000 0.000
0.000 0.500 0.000
0.000 0.000 0.000
0.500 0.500 0.500
```

Properties
Electronic total energy: -3.669 eV per atom

=====

Q: What is the electronic total energy in the second record?
A: -6.646 eV per atom

=====

Q: electronic total energy of number 6 (V6MoH8)?
A: -6.251 eV per atom